Entry 1:
Density functional theory data (PBE) for a relaxed structure of TlReBr2.

## Properties
ΔE_f (raw) ... 0.6340 eV per atom
E ... -15.6 eV for the cell shown
Space group ... Imm2, No. 44

```
TlReBr2
1.0
-3.732 2.418 6.345
-7.288 1.471 2.179
5.897 -4.225 -2.722
Tl Br Re
1 2 1
direct
0.331 0.831 0.500
0.992 0.992 0.000
0.658 0.158 0.500
0.519 0.519 0.000
```



Entry 2:
Density functional theory data (PBE) for a relaxed structure of NaScBeGe2.

## Properties
E ... -14.3 eV for the cell shown
Space group ... P4/mmm, No. 123
Energy relative to the elements ... 1.2711 eV per atom

```
NaScBeGe2
1.0
4.893 0.000 0.000
0.000 4.843 0.000
0.000 0.000 4.893
Be Na Sc Ge
1 1 1 2
direct
0.500 0.500 0.500
0.000 0.000 0.000
0.000 0.500 0.000
0.000 0.000 0.500
0.500 0.000 0.000
```



Entry 3:
Density functional theory data (PBE) for a relaxed structure of Mo2PbBr.

## Properties
ΔE_f (raw) ... 0.2101 eV per atom
E ... -26.2 eV for the cell shown
Space group ... Pm, No. 6

```
Mo2PbBr
1.0
-2.641 1.295 -1.274
-1.070 -3.055 -0.886
-4.530 -2.278 7.077
Mo Br Pb
2 1 1
direct
0.500 0.212 0.201
0.000 0.787 0.050
0.500 0.908 0.808
0.000 0.594 0.441
```



Entry 4:
Density functional theory data (PBE) for a relaxed structure of NaHgBi.

## Properties
E ... -6.1 eV for the cell shown
Space group ... P3m1, No. 156
Energy relative to the elements ... -0.1895 eV per atom

```
NaHgBi
1.0
-3.283 1.142 0.483
-1.881 -4.774 -1.497
1.088 0.950 5.146
Bi Hg Na
1 1 1
direct
0.166 0.000 0.000
0.165 0.667 0.333
0.668 0.333 0.667
```



Entry 5:
Density functional theory data (PBE) for a relaxed structure of Dy12Zn6Ni.

## Properties
E ... -70.9 eV for the cell shown
Space group ... R-3, No. 148
Energy relative to the elements ... -0.1163 eV per atom

```
Dy12Zn6Ni
1.0
-5.792 -1.501 5.261
-1.747 -6.350 -4.485
5.526 -3.884 4.226
Dy Zn Ni
12 6 1
direct
0.570 0.453 0.801
0.035 0.904 0.684
0.801 0.570 0.453
0.684 0.035 0.904
0.453 0.801 0.570
0.096 0.316 0.965
0.199 0.430 0.547
0.904 0.684 0.035
0.965 0.096 0.316
0.547 0.199 0.430
0.430 0.547 0.199
0.316 0.965 0.096
0.860 0.261 0.653
0.653 0.860 0.261
0.261 0.653 0.860
0.347 0.140 0.739
0.739 0.347 0.140
0.140 0.739 0.347
0.000 0.000 0.000
```



Entry 6:
Density functional theory data (PBE) for a relaxed structure of ZrCo2Au.

## Properties
E ... -49.9 eV for the cell shown
Space group ... I-42d, No. 122
Energy relative to the elements ... 0.2731 eV per atom

```
ZrCo2Au
1.0
-2.855 -1.857 -1.969
2.640 -1.277 -2.623
1.244 -8.848 2.609
Zr Co Au
2 4 2
direct
0.500 0.500 0.000
0.250 0.750 0.500
0.375 0.299 0.750
0.701 0.125 0.250
0.049 0.625 0.250
0.875 0.951 0.750
0.000 0.000 0.000
0.750 0.250 0.500
```



Which of these has the highest E? NaHgBi



Repeat the fifth record exactly.
Density functional theory data (PBE) for a relaxed structure of Dy12Zn6Ni.

## Properties
E ... -70.9 eV for the cell shown
Space group ... R-3, No. 148
Energy relative to the elements ... -0.1163 eV per atom

```
Dy12Zn6Ni
1.0
-5.792 -1.501 5.261
-1.747 -6.350 -4.485
5.526 -3.884 4.226
Dy Zn Ni
12 6 1
direct
0.570 0.453 0.801
0.035 0.904 0.684
0.801 0.570 0.453
0.684 0.035 0.904
0.453 0.801 0.570
0.096 0.316 0.965
0.199 0.430 0.547
0.904 0.684 0.035
0.965 0.096 0.316
0.547 0.199 0.430
0.430 0.547 0.199
0.316 0.965 0.096
0.860 0.261 0.653
0.653 0.860 0.261
0.261 0.653 0.860
0.347 0.140 0.739
0.739 0.347 0.140
0.140 0.739 0.347
0.000 0.000 0.000
```



Which value of E does entry 1 give? -15.6 eV for the cell shown



E of number 2 (NaScBeGe2)? -14.3 eV for the cell shown